P) A geometry-optimized NaLi6Tl12 structure. Source: the Alexandria database, functional PBE.

Results
M_tot: 0.0 μB/cell

Unit cell a=8.512 b=8.512 c=8.512 alpha=109.47 beta=109.47 gamma=109.47
Positions (direct):
Tl 0.459 0.179 0.281
Tl 0.179 0.281 0.459
Li 0.500 0.858 0.358
Na 0.000 0.000 0.000
Li 0.500 0.142 0.642
Tl 0.898 0.179 0.719
Tl 0.179 0.719 0.898
Tl 0.541 0.821 0.719
Li 0.858 0.358 0.500
Tl 0.719 0.541 0.821
Li 0.142 0.642 0.500
Tl 0.719 0.898 0.179
Tl 0.102 0.821 0.281
Tl 0.281 0.102 0.821
Tl 0.821 0.281 0.102
Tl 0.281 0.459 0.179
Tl 0.821 0.719 0.541
Li 0.358 0.500 0.858
Li 0.642 0.500 0.142

***

Q) A geometry-optimized NaLi6Tl12 structure. Source: the Alexandria database, functional PBE.

Results
M_tot: 0.0 μB/cell

Unit cell a=8.347 b=8.347 c=8.347 alpha=105.25 beta=105.25 gamma=105.25
Positions (direct):
Tl 0.154 0.409 0.409
Tl 0.118 0.882 0.500
Tl 0.409 0.154 0.409
Li 0.271 0.709 0.271
Li 0.729 0.291 0.729
Na 0.000 0.000 0.000
Li 0.291 0.729 0.729
Li 0.729 0.729 0.291
Tl 0.591 0.846 0.591
Li 0.271 0.271 0.709
Tl 0.846 0.591 0.591
Li 0.709 0.271 0.271
Tl 0.409 0.409 0.154
Tl 0.591 0.591 0.846
Tl 0.882 0.500 0.118
Tl 0.500 0.882 0.118
Tl 0.882 0.118 0.500
Tl 0.118 0.500 0.882
Tl 0.500 0.118 0.882

***

Referenced to the most stable arrangement, the calculated values in meV per atom are P) 0; Q) 28.

***

P) A geometry-optimized Na3LiTl4 structure. Source: the Alexandria database, functional PBE.

Results
M_tot: 0.0 μB/cell

Unit cell a=7.104 b=7.104 c=7.104 alpha=79.47 beta=127.03 gamma=125.49
Positions (direct):
Na 0.585 0.260 0.845
Li 0.298 0.500 0.798
Tl 0.092 0.262 0.354
Tl 0.575 0.248 0.327
Na 0.585 0.740 0.325
Tl 0.092 0.738 0.829
Tl 0.078 0.752 0.327
Na 0.846 0.000 0.846

***

Q) A geometry-optimized Na3LiTl4 structure. Source: the Alexandria database, functional PBE.

Results
M_tot: 0.0 μB/cell

Unit cell a=3.511 b=3.511 c=17.138 alpha=90.00 beta=90.00 gamma=90.00
Positions (direct):
Tl 0.000 0.000 0.366
Tl 0.000 0.000 0.101
Na 0.500 0.500 0.232
Li 0.500 0.500 0.000
Tl 0.000 0.000 0.899
Tl 0.000 0.000 0.634
Na 0.500 0.500 0.500
Na 0.500 0.500 0.768

***

Referenced to the most stable arrangement, the calculated values in meV per atom are P) 82; Q) 0.